1.
Compound: TaCdSe
Source: Alexandria
Functional: PBE
Structure: optimized geometry

abc: 6.2839 6.2839 6.2839
angles: 149.96 149.96 43.00
Atoms (fractional coordinates):
Ta (0.0000, 0.0000, 0.0000)
Cd (0.6707, 0.6707, 0.0000)
Se (0.3891, 0.3891, 0.0000)

Summary:
ρ (Mg/m³): 9.97
Magnetic moment (μB per formula unit): 0.0
DOS(E_F) (states/eV per cell): 1.9
Raw formation energy (meV/atom): -110
E above lowest polymorph (eV/atom): 0.068

***

2.
Compound: KAgPtF6
Source: Alexandria
Functional: PBE
Structure: optimized geometry

abc: 6.2764 6.2764 8.5972
angles: 90.00 90.00 120.00
Atoms (fractional coordinates):
K (0.3333, 0.6667, 0.2500)
K (0.6667, 0.3333, 0.7500)
Ag (0.0000, 0.0000, 0.0000)
Ag (0.0000, 0.0000, 0.5000)
Pt (0.3333, 0.6667, 0.7500)
Pt (0.6667, 0.3333, 0.2500)
F (0.0768, 0.3987, 0.6209)
F (0.0768, 0.6781, 0.8791)
F (0.3219, 0.3987, 0.8791)
F (0.3219, 0.9232, 0.6209)
F (0.3987, 0.0768, 0.1209)
F (0.3987, 0.3219, 0.3791)
F (0.6013, 0.6781, 0.6209)
F (0.6013, 0.9232, 0.8791)
F (0.6781, 0.0768, 0.3791)
F (0.6781, 0.6013, 0.1209)
F (0.9232, 0.3219, 0.1209)
F (0.9232, 0.6013, 0.3791)

Summary:
ρ (Mg/m³): 5.16
Magnetic moment (μB per formula unit): 0.0
DOS(E_F) (states/eV per cell): 0.0
Raw formation energy (meV/atom): -1687

***

3.
Compound: Re2AgBO
Source: Alexandria
Functional: PBE
Structure: optimized geometry

abc: 3.9315 3.9315 4.6893
angles: 90.00 90.00 90.00
Atoms (fractional coordinates):
Re (0.0000, 0.5000, 0.0000)
Re (0.5000, 0.0000, 0.0000)
Ag (0.0000, 0.0000, 0.5000)
B (0.5000, 0.5000, 0.5000)
O (0.0000, 0.0000, 0.0000)

Summary:
ρ (Mg/m³): 11.62
Magnetic moment (μB per formula unit): 0.5
DOS(E_F) (states/eV per cell): 5.7
Raw formation energy (meV/atom): 1406

***

4.
Compound: Ba2AgPbAu6
Source: Alexandria
Functional: PBE
Structure: optimized geometry

abc: 7.3731 7.3731 9.8800
angles: 129.23 129.23 44.55
Atoms (fractional coordinates):
Ba (0.2389, 0.2389, 0.2006)
Ba (0.7611, 0.7611, 0.7994)
Ag (0.5000, 0.5000, 0.0000)
Pb (0.0000, 0.0000, 0.5000)
Au (0.2483, 0.7478, 0.2407)
Au (0.2522, 0.7517, 0.7593)
Au (0.2563, 0.2563, 0.5886)
Au (0.7437, 0.7437, 0.4114)
Au (0.7478, 0.2483, 0.2407)
Au (0.7517, 0.2522, 0.7593)

Summary:
ρ (Mg/m³): 10.69
Magnetic moment (μB per formula unit): 0.0
DOS(E_F) (states/eV per cell): 4.3
DFT formation energy (eV per atom): -0.3833

***

5.
Compound: Cs4Rb2CdPb2
Source: Alexandria
Functional: PBE
Structure: optimized geometry

abc: 9.4945 9.4945 7.3118
angles: 104.53 104.53 55.91
Atoms (fractional coordinates):
Cs (0.1072, 0.6410, 0.7737)
Cs (0.3590, 0.8928, 0.2263)
Cs (0.6410, 0.1072, 0.7737)
Cs (0.8928, 0.3590, 0.2263)
Rb (0.3498, 0.3498, 0.2429)
Rb (0.6502, 0.6502, 0.7571)
Cd (0.0000, 0.0000, 0.5000)
Pb (0.1690, 0.1690, 0.7508)
Pb (0.8310, 0.8310, 0.2492)

Summary:
ρ (Mg/m³): 3.90
Magnetic moment (μB per formula unit): 0.0
DOS(E_F) (states/eV per cell): 7.1
DFT formation energy (eV per atom): -0.0423

***

6.
Compound: NpCdPdPt
Source: Alexandria
Functional: PBE
Structure: optimized geometry

abc: 4.8205 4.8205 4.8205
angles: 60.00 60.00 60.00
Atoms (fractional coordinates):
Np (0.0000, 0.0000, 0.0000)
Cd (0.5000, 0.5000, 0.5000)
Pd (0.7500, 0.7500, 0.7500)
Pt (0.2500, 0.2500, 0.2500)

Summary:
ρ (Mg/m³): 13.65
Magnetic moment (μB per formula unit): 3.7
DOS(E_F) (states/eV per cell): 9.0
DFT formation energy (eV per atom): -0.3590

***

7.
Compound: YSc2Ti
Source: Alexandria
Functional: PBE
Structure: optimized geometry

abc: 10.7333 10.7333 10.7333
angles: 17.40 17.40 17.40
Atoms (fractional coordinates):
Y (0.0000, 0.0000, 0.0000)
Sc (0.2414, 0.2414, 0.2414)
Sc (0.7586, 0.7586, 0.7586)
Ti (0.5000, 0.5000, 0.5000)

Summary:
ρ (Mg/m³): 3.90
Magnetic moment (μB per formula unit): 0.0
DOS(E_F) (states/eV per cell): 5.8
E above lowest polymorph (eV/atom): 0.018
DFT formation energy (eV per atom): 0.1557

***

8.
Compound: InCuAs2
Source: Alexandria
Functional: PBE
Structure: optimized geometry

abc: 5.0616 5.0616 3.1381
angles: 90.00 90.00 90.00
Atoms (fractional coordinates):
In (0.0000, 0.0000, 0.0000)
Cu (0.5000, 0.5000, 0.5000)
As (0.0000, 0.5000, 0.6188)
As (0.5000, 0.0000, 0.3812)

Summary:
ρ (Mg/m³): 6.78
Magnetic moment (μB per formula unit): 0.0
DOS(E_F) (states/eV per cell): 1.0
DFT formation energy (eV per atom): 0.2032